TbCePuSc: relaxed, PBE.

Values from the calculation:
ΔH_f (0 K), eV/f.u.: 0.7
Volume, Å³ per cell: 112.19
Space-group type: F-43m (216)
E, eV per atom: -7.639
Total magnetic moment, μB/cell: 8.3

The structure in CIF format:
```
data_TbCePuSc
_space_group_name_H-M_alt 'P 1'
_space_group_IT_number 1
_space_group_name_Hall 'P 1'
_cell_length_a 5.414
_cell_length_b 5.414
_cell_length_c 5.414
_cell_angle_alpha 60.00
_cell_angle_beta 60.00
_cell_angle_gamma 60.00
loop_
_atom_site_label
_atom_site_type_symbol
_atom_site_fract_x
_atom_site_fract_y
_atom_site_fract_z
_atom_site_occupancy
Ce1 Ce 0.750 0.750 0.750 1
Sc1 Sc 0.000 0.000 0.000 1
Pu1 Pu 0.500 0.500 0.500 1
Tb1 Tb 0.250 0.250 0.250 1
```

***

CePuScTc: relaxed, PBE.

Values from the calculation:
ΔH_f (0 K), eV/f.u.: 0.3
Volume, Å³ per cell: 84.61
Space-group type: F-43m (216)
E, eV per atom: -9.159
Total magnetic moment, μB/cell: 6.7

The structure in CIF format:
```
data_CePuScTc
_space_group_name_H-M_alt 'P 1'
_space_group_IT_number 1
_space_group_name_Hall 'P 1'
_cell_length_a 4.928
_cell_length_b 4.928
_cell_length_c 4.928
_cell_angle_alpha 60.00
_cell_angle_beta 60.00
_cell_angle_gamma 60.00
loop_
_atom_site_label
_atom_site_type_symbol
_atom_site_fract_x
_atom_site_fract_y
_atom_site_fract_z
_atom_site_occupancy
Pu1 Pu 0.250 0.250 0.250 1
Tc1 Tc 0.750 0.750 0.750 1
Ce1 Ce 0.500 0.500 0.500 1
Sc1 Sc 0.000 0.000 0.000 1
```

***

Ce3Pu2ScTe6: relaxed, PBE.

Values from the calculation:
Volume, Å³ per cell: 366.62
Space-group type: C2/m (12)
E, eV per atom: -7.197
Total magnetic moment, μB/cell: 15.4

The structure in CIF format:
```
data_Ce3Pu2ScTe6
_space_group_name_H-M_alt 'P 1'
_space_group_IT_number 1
_space_group_name_Hall 'P 1'
_cell_length_a 4.403
_cell_length_b 8.883
_cell_length_c 9.885
_cell_angle_alpha 103.09
_cell_angle_beta 102.87
_cell_angle_gamma 90.00
loop_
_atom_site_label
_atom_site_type_symbol
_atom_site_fract_x
_atom_site_fract_y
_atom_site_fract_z
_atom_site_occupancy
Te1 Te 0.998 0.233 0.997 1
Ce1 Ce 0.829 0.162 0.658 1
Te2 Te 0.669 0.582 0.338 1
Te3 Te 0.659 0.085 0.318 1
Pu1 Pu 0.836 0.667 0.672 1
Pu2 Pu 0.164 0.333 0.328 1
Ce2 Ce 0.500 0.500 0.000 1
Te4 Te 0.341 0.915 0.682 1
Te5 Te 0.331 0.418 0.662 1
Sc1 Sc 0.500 0.000 0.000 1
Ce3 Ce 0.171 0.838 0.342 1
Te6 Te 0.002 0.767 0.003 1
```

***

CePuThSc: relaxed, PBE.

Values from the calculation:
ΔH_f (0 K), eV/f.u.: 0.5
Volume, Å³ per cell: 110.43
Space-group type: F-43m (216)
E, eV per atom: -8.371
Total magnetic moment, μB/cell: 6.7

The structure in CIF format:
```
data_CePuThSc
_space_group_name_H-M_alt 'P 1'
_space_group_IT_number 1
_space_group_name_Hall 'P 1'
_cell_length_a 5.385
_cell_length_b 5.385
_cell_length_c 5.385
_cell_angle_alpha 60.00
_cell_angle_beta 60.00
_cell_angle_gamma 60.00
loop_
_atom_site_label
_atom_site_type_symbol
_atom_site_fract_x
_atom_site_fract_y
_atom_site_fract_z
_atom_site_occupancy
Th1 Th 0.250 0.250 0.250 1
Pu1 Pu 0.500 0.500 0.500 1
Ce1 Ce 0.750 0.750 0.750 1
Sc1 Sc 0.000 0.000 0.000 1
```